[1]
Computed, not measured: Te2PbIN after structural relaxation at the PBE-GGA level of DFT.

Values from the calculation:
distance to the lowest polymorph of the same formula = 3.81 eV per formula unit

Cell: 6.081 6.081 6.362 Å, 90.00 90.00 90.00°
Space group P4/mmm (No. 123)
Asymmetric unit:
Te (0.000, 0.500, 0.000) (multiplicity 2)
Pb (0.000, 0.000, 0.000) (multiplicity 1)
I (0.000, 0.000, 0.500) (multiplicity 1)
N (0.500, 0.500, 0.500) (multiplicity 1)

***

[2]
Computed, not measured: MnCu2Se3 after structural relaxation at the PBE-GGA level of DFT.

Cell: 10.366 6.466 7.066 Å, 90.00 92.00 90.00°
Space group C2/c (No. 15)
Asymmetric unit:
Mn (0.000, 0.085, 0.250) (multiplicity 4)
Cu (0.135, 0.342, 0.998) (multiplicity 8)
Se (0.000, 0.478, 0.250) (multiplicity 4)
Se (0.159, 0.028, 0.517) (multiplicity 8)

***

[3]
Computed, not measured: TcAg2Sb after structural relaxation at the PBE-GGA level of DFT.

Cell: 7.759 7.759 5.328 Å, 90.00 90.00 90.00°
Space group I-42d (No. 122)
Asymmetric unit:
Tc (0.000, 0.000, 0.000) (multiplicity 4)
Ag (0.246, 0.250, 0.125) (multiplicity 8)
Sb (0.000, 0.000, 0.500) (multiplicity 4)

***

[4]
Computed, not measured: BAsP2S after structural relaxation at the PBE-GGA level of DFT.

Values from the calculation:
distance to the lowest polymorph of the same formula = 4.68 eV per formula unit

Cell: 4.705 4.705 4.821 Å, 90.00 90.00 90.00°
Space group P4/mmm (No. 123)
Asymmetric unit:
B (0.000, 0.000, 0.000) (multiplicity 1)
As (0.500, 0.500, 0.500) (multiplicity 1)
P (0.000, 0.500, 0.500) (multiplicity 2)
S (0.500, 0.500, 0.000) (multiplicity 1)

***

| no. | M_tot (μB per cell) | formation energy (no corrections) (kJ per mole of atoms) |
| --- | --- | --- |
| 1 | 5.3 | 128.95 |
| 2 | 12.8 | -25.04 |
| 3 | 4.9 | 59.04 |
| 4 | 0.4 | 169.11 |